Entry from Alexandria via LeMat-Bulk: a geometry-optimized BaCa2 structure (GGA-PBE).

Summary:
- ΔE to the lowest computed polymorph: 0.03 kcal/mol of atoms
- Space-group type: P6_3/mmc

Cell: 7.5230 7.5230 12.5332 Å, 90.00 90.00 120.00°
With the nearest neighbours (Å) after each atom.
Element x y z (fractional)
Ba 0.3333 0.6667 0.0631  12 Ca 4.41-4.48, 4 Ba 4.62-4.68
Ba 0.3333 0.6667 0.4369  12 Ca 4.41-4.48, 4 Ba 4.62-4.68
Ba 0.6667 0.3333 0.5631  12 Ca 4.41-4.48, 4 Ba 4.62-4.68
Ba 0.6667 0.3333 0.9369  12 Ca 4.41-4.48, 4 Ba 4.62-4.68
Ca 0.0000 0.0000 0.0000  6 Ca 3.82
Ca 0.0000 0.0000 0.5000  6 Ca 3.82
Ca 0.1677 0.3355 0.7500  6 Ca 3.74-3.82
Ca 0.1677 0.8323 0.7500  6 Ca 3.74-3.82
Ca 0.3355 0.1677 0.2500  6 Ca 3.74-3.82
Ca 0.6645 0.8323 0.7500  6 Ca 3.74-3.82
Ca 0.8323 0.1677 0.2500  6 Ca 3.74-3.82
Ca 0.8323 0.6645 0.2500  6 Ca 3.74-3.82

=====

Entry from Alexandria via LeMat-Bulk: a geometry-optimized BaCa2 structure (GGA-PBE).

Summary:
- ΔE to the lowest computed polymorph: 6.56 kcal/mol of atoms
- Space-group type: P4/mmm

Cell: 4.9814 4.9814 6.8106 Å, 90.00 90.00 90.00°
With the nearest neighbours (Å) after each atom.
Element x y z (fractional)
Ba 0.0000 0.0000 0.0000  8 Ca 4.22
Ca 0.0000 0.5000 0.5000  4 Ca 3.52
Ca 0.5000 0.0000 0.5000  4 Ca 3.52

=====

Entry from Alexandria via LeMat-Bulk: a geometry-optimized Ba2Ca5 structure (GGA-PBE).

Summary:
- Space-group type: C2/m

Cell: 12.7252 5.7752 9.2268 Å, 90.00 99.62 90.00°
With the nearest neighbours (Å) after each atom.
Element x y z (fractional)
Ba 0.0738 0.0000 0.2195  11 Ca 4.00-4.15, 1 Ba 4.17
Ba 0.4262 0.5000 0.7805  11 Ca 4.00-4.15, 1 Ba 4.17
Ba 0.5738 0.5000 0.2195  11 Ca 4.00-4.15, 1 Ba 4.17
Ba 0.9262 0.0000 0.7805  11 Ca 4.00-4.15, 1 Ba 4.17
Ca 0.0000 0.5000 0.5000  8 Ca 4.02-4.10, 4 Ba 4.09
Ca 0.1464 0.5000 0.9292  7 Ca 3.98-4.15, 5 Ba 4.02-4.15
Ca 0.2119 0.0000 0.6426  4 Ba 4.00-4.05, 8 Ca 4.02-4.13
Ca 0.2881 0.5000 0.3574  4 Ba 4.00-4.05, 8 Ca 4.02-4.13
Ca 0.3536 0.0000 0.0708  7 Ca 3.98-4.15, 5 Ba 4.02-4.15
Ca 0.5000 0.0000 0.5000  8 Ca 4.02-4.10, 4 Ba 4.09
Ca 0.6464 0.0000 0.9292  7 Ca 3.98-4.15, 5 Ba 4.02-4.15
Ca 0.7119 0.5000 0.6426  4 Ba 4.00-4.05, 8 Ca 4.02-4.13
Ca 0.7881 0.0000 0.3574  4 Ba 4.00-4.05, 8 Ca 4.02-4.13
Ca 0.8536 0.5000 0.0708  7 Ca 3.98-4.15, 5 Ba 4.02-4.15

=====

Entry from Alexandria via LeMat-Bulk: a geometry-optimized Ba3Ca structure (GGA-PBE).

Summary:
- ΔE to the lowest computed polymorph: 0.39 kcal/mol of atoms
- Space-group type: I4/mmm

Cell: 6.1240 6.1240 12.3768 Å, 90.00 90.00 90.00°
With the nearest neighbours (Å) after each atom.
Element x y z (fractional)
Ba 0.0000 0.0000 0.0000  4 Ca 4.33, 8 Ba 4.35
Ba 0.0000 0.5000 0.2500  8 Ba 4.33-4.35, 4 Ca 4.35
Ba 0.0000 0.5000 0.7500  8 Ba 4.33-4.35, 4 Ca 4.35
Ba 0.5000 0.0000 0.2500  8 Ba 4.33-4.35, 4 Ca 4.35
Ba 0.5000 0.0000 0.7500  8 Ba 4.33-4.35, 4 Ca 4.35
Ba 0.5000 0.5000 0.5000  4 Ca 4.33, 8 Ba 4.35
Ca 0.0000 0.0000 0.5000  12 Ba 4.33-4.35
Ca 0.5000 0.5000 0.0000  12 Ba 4.33-4.35

=====

Entry from Alexandria via LeMat-Bulk: a geometry-optimized Ba5Ca4 structure (GGA-PBE).

Summary:
- ΔE to the lowest computed polymorph: 0.00 kcal/mol of atoms
- Space-group type: Immm

Cell: 10.2918 10.2918 10.2918 Å, 153.08 93.20 93.01°
With the nearest neighbours (Å) after each atom.
Element x y z (fractional)
Ba 0.0000 0.0000 0.0000  8 Ca 4.22, 4 Ba 4.59-4.60
Ba 0.3242 0.3242 0.0000  4 Ca 4.04, 4 Ba 4.25
Ba 0.3249 0.0000 0.3249  4 Ca 4.04, 4 Ba 4.25
Ba 0.6751 0.0000 0.6751  4 Ca 4.04, 4 Ba 4.25
Ba 0.6758 0.6758 0.0000  4 Ca 4.04, 4 Ba 4.25
Ca 0.0003 0.3266 0.6737  2 Ca 3.89, 6 Ba 4.04-4.22
Ca 0.9997 0.6734 0.3263  2 Ca 3.89, 6 Ba 4.04-4.22
Ca 0.3472 0.6734 0.6737  2 Ca 3.89, 6 Ba 4.04-4.22
Ca 0.6528 0.3266 0.3263  2 Ca 3.89, 6 Ba 4.04-4.22

=====

Entry from Alexandria via LeMat-Bulk: a geometry-optimized BaCa structure (GGA-PBE).

Summary:
- ΔE to the lowest computed polymorph: 3.06 kcal/mol of atoms
- Space-group type: P6_3mc

Cell: 4.0617 4.0617 14.4229 Å, 90.00 90.00 120.00°
With the nearest neighbours (Å) after each atom.
Element x y z (fractional)
Ba 0.3333 0.6667 0.0000  4 Ca 3.80-4.14, 6 Ba 4.06
Ba 0.6667 0.3333 0.5000  4 Ca 3.80-4.14, 6 Ba 4.06
Ca 0.3333 0.6667 0.7366  4 Ba 3.80-4.14, 6 Ca 4.06
Ca 0.6667 0.3333 0.2366  4 Ba 3.80-4.14, 6 Ca 4.06

=====

Entry from Alexandria via LeMat-Bulk: a geometry-optimized Ba3Ca structure (GGA-PBE).

Summary:
- ΔE to the lowest computed polymorph: 0.03 kcal/mol of atoms
- Space-group type: Cmcm

Cell: 13.6280 9.7885 6.8282 Å, 90.00 90.00 90.00°
With the nearest neighbours (Å) after each atom.
Element x y z (fractional)
Ba 0.0000 0.1335 0.2500  6 Ba 4.14-4.30, 2 Ca 4.21
Ba 0.0000 0.8665 0.7500  6 Ba 4.14-4.30, 2 Ca 4.21
Ba 0.2502 0.1250 0.7500  2 Ca 4.14-4.25, 6 Ba 4.14-4.25
Ba 0.2498 0.3750 0.2500  2 Ca 4.14-4.25, 6 Ba 4.14-4.25
Ba 0.2498 0.6250 0.7500  2 Ca 4.14-4.25, 6 Ba 4.14-4.25
Ba 0.2502 0.8750 0.2500  2 Ca 4.14-4.25, 6 Ba 4.14-4.25
Ba 0.5000 0.3665 0.7500  6 Ba 4.14-4.30, 2 Ca 4.21
Ba 0.5000 0.6335 0.2500  6 Ba 4.14-4.30, 2 Ca 4.21
Ba 0.7498 0.1250 0.7500  2 Ca 4.14-4.25, 6 Ba 4.14-4.25
Ba 0.7502 0.3750 0.2500  2 Ca 4.14-4.25, 6 Ba 4.14-4.25
Ba 0.7502 0.6250 0.7500  2 Ca 4.14-4.25, 6 Ba 4.14-4.25
Ba 0.7498 0.8750 0.2500  2 Ca 4.14-4.25, 6 Ba 4.14-4.25
Ca 0.0000 0.3844 0.7500  2 Ca 4.10, 6 Ba 4.14-4.25
Ca 0.0000 0.6156 0.2500  2 Ca 4.10, 6 Ba 4.14-4.25
Ca 0.5000 0.1156 0.2500  2 Ca 4.10, 6 Ba 4.14-4.25
Ca 0.5000 0.8844 0.7500  2 Ca 4.10, 6 Ba 4.14-4.25

=====

Entry from Alexandria via LeMat-Bulk: a geometry-optimized Ba7Ca2 structure (GGA-PBE).

Summary:
- ΔE to the lowest computed polymorph: 0.21 kcal/mol of atoms
- Space-group type: P-62m

Cell: 11.9442 11.9442 4.2675 Å, 90.00 90.00 120.00°
With the nearest neighbours (Å) after each atom.
Element x y z (fractional)
Ba 0.0000 0.0000 0.0000  11 Ba 4.27-4.32
Ba 0.0000 0.3609 0.0000  9 Ba 4.27-4.59, 4 Ca 4.38
Ba 0.0000 0.6851 0.5000  2 Ca 4.10, 6 Ba 4.27-4.42
Ba 0.3149 0.3149 0.5000  2 Ca 4.10, 6 Ba 4.27-4.42
Ba 0.3609 0.0000 0.0000  9 Ba 4.27-4.59, 4 Ca 4.38
Ba 0.6391 0.6391 0.0000  9 Ba 4.27-4.59, 4 Ca 4.38
Ba 0.6851 0.0000 0.5000  2 Ca 4.10, 6 Ba 4.27-4.42
Ca 0.3333 0.6667 0.5000  9 Ba 4.10-4.38, 2 Ca 4.27
Ca 0.6667 0.3333 0.5000  9 Ba 4.10-4.38, 2 Ca 4.27

=====

Entry from Alexandria via LeMat-Bulk: a geometry-optimized Ba4Ca structure (GGA-PBE).

Summary:
- ΔE to the lowest computed polymorph: 6.01 kcal/mol of atoms
- Space-group type: Pm-3m

Cell: 7.0548 7.0548 7.0548 Å, 90.00 90.00 90.00°
With the nearest neighbours (Å) after each atom.
Element x y z (fractional)
Ba 0.0000 0.0000 0.0000  12 Ba 4.99
Ba 0.0000 0.5000 0.5000  2 Ca 3.53
Ba 0.5000 0.0000 0.5000  2 Ca 3.53
Ba 0.5000 0.5000 0.0000  2 Ca 3.53
Ca 0.5000 0.5000 0.5000  6 Ba 3.53

=====

Entry from Alexandria via LeMat-Bulk: a geometry-optimized Ba3Ca4 structure (GGA-PBE).

Summary:
- ΔE to the lowest computed polymorph: 0.00 kcal/mol of atoms
- Space-group type: I4/mmm

Cell: 4.7155 4.7155 31.9470 Å, 90.00 90.00 90.00°
With the nearest neighbours (Å) after each atom.
Element x y z (fractional)
Ba 0.0000 0.0000 0.0000  10 Ca 4.08-4.25
Ba 0.0000 0.0000 0.2938  5 Ca 4.07-4.23, 4 Ba 4.35
Ba 0.0000 0.0000 0.7062  5 Ca 4.07-4.23, 4 Ba 4.35
Ba 0.5000 0.5000 0.2062  5 Ca 4.07-4.23, 4 Ba 4.35
Ba 0.5000 0.5000 0.5000  10 Ca 4.08-4.25
Ba 0.5000 0.5000 0.7938  5 Ca 4.07-4.23, 4 Ba 4.35
Ca 0.0000 0.0000 0.1330  4 Ca 3.84, 5 Ba 4.07-4.25
Ca 0.0000 0.0000 0.4263  4 Ca 3.84, 5 Ba 4.08-4.23
Ca 0.0000 0.0000 0.5737  4 Ca 3.84, 5 Ba 4.08-4.23
Ca 0.0000 0.0000 0.8670  4 Ca 3.84, 5 Ba 4.07-4.25
Ca 0.5000 0.5000 0.0737  4 Ca 3.84, 5 Ba 4.08-4.23
Ca 0.5000 0.5000 0.3670  4 Ca 3.84, 5 Ba 4.07-4.25
Ca 0.5000 0.5000 0.6330  4 Ca 3.84, 5 Ba 4.07-4.25
Ca 0.5000 0.5000 0.9263  4 Ca 3.84, 5 Ba 4.08-4.23

=====

Entry from Alexandria via LeMat-Bulk: a geometry-optimized BaCa structure (GGA-PBE).

Summary:
- ΔE to the lowest computed polymorph: 0.53 kcal/mol of atoms
- Space-group type: Cm

Cell: 15.5013 4.2110 9.9967 Å, 90.00 106.30 90.00°
With the nearest neighbours (Å) after each atom.
Element x y z (fractional)
Ba 0.0000 0.0000 0.0000  7 Ca 4.10-4.28, 5 Ba 4.20-4.28
Ba 0.0463 0.0000 0.6054  7 Ca 4.20-4.29, 5 Ba 4.20-4.32
Ba 0.1780 0.5000 0.3398  6 Ca 4.08-4.40, 6 Ba 4.21-4.32
Ba 0.5000 0.5000 0.0000  7 Ca 4.10-4.28, 5 Ba 4.20-4.28
Ba 0.5463 0.5000 0.6054  7 Ca 4.20-4.29, 5 Ba 4.20-4.32
Ba 0.6780 0.0000 0.3398  6 Ca 4.08-4.40, 6 Ba 4.21-4.32
Ca 0.2274 0.5000 0.9433  6 Ca 4.03-4.21, 6 Ba 4.10-4.29
Ca 0.3281 0.0000 0.6778  5 Ca 4.03-4.47, 7 Ba 4.10-4.22
Ca 0.3845 0.0000 0.2629  5 Ca 4.03-4.47, 7 Ba 4.08-4.40
Ca 0.7274 0.0000 0.9433  6 Ca 4.03-4.21, 6 Ba 4.10-4.29
Ca 0.8281 0.5000 0.6778  5 Ca 4.03-4.47, 7 Ba 4.10-4.22
Ca 0.8845 0.5000 0.2629  5 Ca 4.03-4.47, 7 Ba 4.08-4.40

=====

Entry from Alexandria via LeMat-Bulk: a geometry-optimized BaCa3 structure (GGA-PBE).

Summary:
- Space-group type: R-3m

Cell: 12.7910 12.7910 3.8994 Å, 90.00 90.00 120.00°
With the nearest neighbours (Å) after each atom.
Element x y z (fractional)
Ba 0.0000 0.0000 0.0000  2 Ba 3.90, 6 Ca 3.91
Ba 0.3333 0.6667 0.6667  2 Ba 3.90, 6 Ca 3.91
Ba 0.6667 0.3333 0.3333  2 Ba 3.90, 6 Ca 3.91
Ca 0.0000 0.5000 0.0000  6 Ca 3.90-3.91, 2 Ba 3.91
Ca 0.1667 0.3333 0.3333  6 Ca 3.90-3.91, 2 Ba 3.91
Ca 0.1667 0.8333 0.3333  6 Ca 3.90-3.91, 2 Ba 3.91
Ca 0.3333 0.1667 0.6667  6 Ca 3.90-3.91, 2 Ba 3.91
Ca 0.5000 0.0000 0.0000  6 Ca 3.90-3.91, 2 Ba 3.91
Ca 0.5000 0.5000 0.0000  6 Ca 3.90-3.91, 2 Ba 3.91
Ca 0.6667 0.8333 0.3333  6 Ca 3.90-3.91, 2 Ba 3.91
Ca 0.8333 0.1667 0.6667  6 Ca 3.90-3.91, 2 Ba 3.91
Ca 0.8333 0.6667 0.6667  6 Ca 3.90-3.91, 2 Ba 3.91

=====

Entry from Alexandria via LeMat-Bulk: a geometry-optimized BaCa structure (GGA-PBE).

Summary:
- ΔE to the lowest computed polymorph: 0.34 kcal/mol of atoms
- Space-group type: Imma

Cell: 4.5844 6.7668 13.4864 Å, 90.00 90.00 90.00°
With the nearest neighbours (Å) after each atom.
Element x y z (fractional)
Ba 0.0000 0.2500 0.1159  6 Ca 4.10-4.11, 4 Ba 4.28-4.58
Ba 0.0000 0.7500 0.8841  6 Ca 4.10-4.11, 4 Ba 4.28-4.58
Ba 0.5000 0.2500 0.3841  6 Ca 4.10-4.11, 4 Ba 4.28-4.58
Ba 0.5000 0.7500 0.6159  6 Ca 4.10-4.11, 4 Ba 4.28-4.58
Ca 0.0000 0.2500 0.6369  2 Ca 3.82, 6 Ba 4.10-4.11
Ca 0.0000 0.7500 0.3631  2 Ca 3.82, 6 Ba 4.10-4.11
Ca 0.5000 0.2500 0.8631  2 Ca 3.82, 6 Ba 4.10-4.11
Ca 0.5000 0.7500 0.1369  2 Ca 3.82, 6 Ba 4.10-4.11

=====

| no. | formation energy (meV/atom) |
| --- | --- |
| 1 | 22 |
| 2 | 305 |
| 3 | 36 |
| 4 | 40 |
| 5 | 34 |
| 6 | 155 |
| 7 | 25 |
| 8 | 49 |
| 9 | 380 |
| 10 | 29 |
| 11 | 45 |
| 12 | 40 |
| 13 | 37 |